This record from Alexandria describes AlCr2BSb after structural relaxation. The functional is PBE.

POSCAR file:
```
AlCr2BSb
1.0
-2.4995 2.7280 -3.5534
1.6021 -2.6138 -3.1336
-4.0687 -3.0853 0.4934
Al Sb Cr B
1 1 2 1
direct
0.5000 0.5000 0.5000
0.0000 0.0000 0.0000
0.5000 0.0000 0.0000
0.0000 0.0000 0.5000
0.0000 0.5000 0.0000
```

Output
final energy	-26.0	eV per formula unit
theoretical density	3.793	g/cm3
DOS at the Fermi energy	3.57	states/eV per cell
symmetry	P4/mmm (123)


This record from Alexandria describes TaIrOs after structural relaxation. The functional is PBE.

POSCAR file:
```
TaIrOs
1.0
-1.7266 2.0790 3.5324
2.0570 -3.9111 0.5074
4.7740 2.6140 0.7950
Ta Ir Os
2 2 2
direct
0.3335 0.1670 0.2500
0.6665 0.8330 0.7500
0.6668 0.8336 0.2500
0.3332 0.1664 0.7500
0.0000 0.5000 0.0000
0.0000 0.5000 0.5000
```

Output
calculated formation energy	-0.34	eV per atom
energy relative to the lowest polymorph listed for this composition	0	meV/atom
final energy	-33.0	eV per formula unit
theoretical density	19.853	g/cm3
DOS at the Fermi energy	3.97	states/eV per cell
symmetry	P6_3/mmc (194)


This record from Alexandria describes Nd2TmCd after structural relaxation. The functional is PBE.

POSCAR file:
```
Nd2TmCd
1.0
-2.4896 -2.7345 0.1674
1.0790 -0.7708 3.4562
-6.1168 5.7647 3.1952
Nd Cd Tm
2 1 1
direct
0.0000 0.0000 0.7699
0.0000 0.0000 0.2301
0.5000 0.5000 0.0000
0.5000 0.5000 0.5000
```

Output
calculated formation energy	-0.13	eV per atom
energy relative to the lowest polymorph listed for this composition	14	meV/atom
final energy	-15.4	eV per formula unit
theoretical density	7.679	g/cm3
DOS at the Fermi energy	5.08	states/eV per cell
symmetry	P4/mmm (123)


This record from Alexandria describes Zr3Fe2Os after structural relaxation. The functional is PBE.

POSCAR file:
```
Zr3Fe2Os
1.0
-2.7153 -0.7560 -1.5616
0.7764 -3.1231 0.1618
-4.6384 -0.7173 8.4125
Zr Fe Os
3 2 1
direct
0.0000 0.0000 0.0000
0.0000 0.0000 0.3265
0.0000 0.0000 0.6735
0.5000 0.5000 0.1634
0.5000 0.5000 0.8366
0.5000 0.5000 0.5000
```

Output
calculated formation energy	-0.29	eV per atom
final energy	-55.6	eV per formula unit
theoretical density	9.556	g/cm3
DOS at the Fermi energy	2.59	states/eV per cell
symmetry	P4/mmm (123)